# 1
An optimized crystal structure of AcHPb. Source: Alexandria via LeMat-Bulk, functional PBE.

POSCAR file:
```
AcHPb
1.0
-2.432 2.432 3.747
2.432 -2.432 3.747
2.432 2.432 -3.747
Ac H Pb
1 1 1
Direct
0.000 0.000 0.000
0.679 0.679 0.000
0.430 0.430 0.000
```

---

# 2
An optimized crystal structure of K2NiBr. Source: Alexandria via LeMat-Bulk, functional PBE.

Computed properties:
E_form (uncorrected): 85 meV per atom

POSCAR file:
```
K2NiBr
1.0
0.000 4.020 4.020
4.020 0.000 4.020
4.020 4.020 0.000
K Ni Br
2 1 1
Direct
0.000 0.000 0.000
0.250 0.250 0.250
0.500 0.500 0.500
0.750 0.750 0.750
```

---

# 3
An optimized crystal structure of ZrFeP. Source: Alexandria via LeMat-Bulk, functional PBE.

Computed properties:
formation energy: -1040 meV per atom

POSCAR file:
```
ZrFeP
1.0
3.681 0.000 0.000
0.000 3.681 0.000
0.000 0.000 6.352
Zr Fe P
2 2 2
Direct
0.250 0.250 0.165
0.750 0.750 0.835
0.250 0.750 0.500
0.750 0.250 0.500
0.250 0.250 0.712
0.750 0.750 0.288
```

---

# 4
An optimized crystal structure of CeLuZnSi. Source: Alexandria via LeMat-Bulk, functional PBE.

Computed properties:
E_form (uncorrected): -412 meV per atom

POSCAR file:
```
CeLuZnSi
1.0
0.000 3.516 3.516
3.516 0.000 3.516
3.516 3.516 0.000
Ce Lu Zn Si
1 1 1 1
Direct
0.000 0.000 0.000
0.500 0.500 0.500
0.250 0.250 0.250
0.750 0.750 0.750
```

---

# 5
An optimized crystal structure of ThMoN4. Source: Alexandria via LeMat-Bulk, functional PBE.

Computed properties:
E_form (uncorrected): -476 meV per atom

POSCAR file:
```
ThMoN4
1.0
5.034 0.000 0.000
0.000 5.095 0.000
-1.833 0.000 5.795
Th Mo N
2 2 8
Direct
0.000 0.000 0.000
0.000 0.500 0.500
0.500 0.000 0.500
0.500 0.500 0.000
0.056 0.002 0.411
0.056 0.498 0.911
0.497 0.724 0.730
0.497 0.776 0.230
0.503 0.224 0.770
0.503 0.276 0.270
0.944 0.502 0.089
0.944 0.998 0.589
```

---

# 6
An optimized crystal structure of MoOsAu2. Source: Alexandria via LeMat-Bulk, functional PBE.

Computed properties:
formation energy: 474 meV per atom

POSCAR file:
```
MoOsAu2
1.0
-1.935 1.935 4.343
1.935 -1.935 4.343
1.935 1.935 -4.343
Mo Os Au
1 1 2
Direct
0.000 0.000 0.000
0.500 0.500 0.000
0.250 0.750 0.500
0.750 0.250 0.500
```

---

Record order is preserved below.
Electronic total energy: -0.2817 -0.1711 -0.6257 -0.3455 -0.6665 -0.4910 Ry/atom